No. 1
Here is crystalline Li2VF6 at its relaxed geometry from the Alexandria database. Energies are from GGA-PBEsol.

**Energy relative to the lowest polymorph listed for this composition**: 44.9 meV/atom
**Uncorrected energy**: -5.6893 eV per atom
**E_form (uncorrected)**: -2897 meV/atom
**Total moment**: 1.00 μB per formula unit

CIF file:
```
data_Li2VF6
_symmetry_space_group_name_H-M 'P 1'
_symmetry_Int_Tables_number 1
_cell_length_a 5.919
_cell_length_b 6.316
_cell_length_c 6.316
_cell_angle_alpha 90.00
_cell_angle_beta 90.00
_cell_angle_gamma 90.00
loop_
_symmetry_equiv_pos_as_xyz
'x,y,z'
loop_
_atom_site_label
_atom_site_fract_x
_atom_site_fract_y
_atom_site_fract_z
Li1 0.750 0.000 0.500
Li2 0.250 0.500 0.000
Li3 0.250 0.000 0.500
Li4 0.750 0.500 0.000
F1 0.295 0.000 0.000
F2 0.500 0.498 0.198
F3 0.000 0.002 0.698
F4 0.500 0.502 0.802
F5 0.000 0.698 0.998
F6 0.000 0.302 0.002
F7 0.205 0.500 0.500
F8 0.000 0.998 0.302
F9 0.500 0.802 0.498
F10 0.705 0.000 0.000
F11 0.500 0.198 0.502
F12 0.795 0.500 0.500
V1 0.000 0.000 0.000
V2 0.500 0.500 0.500
```

=====

No. 2
Here is crystalline KNb3Ru at its relaxed geometry from the Alexandria database. Energies are from GGA-PBEsol.

**Energy relative to the lowest polymorph listed for this composition**: 0.0 meV/atom
**Uncorrected energy**: -7.4784 eV per atom
**Formation energy from the elements**: 1.2756 eV per atom
**Total moment**: 0.00 μB per formula unit

CIF file:
```
data_KNb3Ru
_symmetry_space_group_name_H-M 'P 1'
_symmetry_Int_Tables_number 1
_cell_length_a 4.896
_cell_length_b 4.896
_cell_length_c 4.896
_cell_angle_alpha 90.00
_cell_angle_beta 90.00
_cell_angle_gamma 90.00
loop_
_symmetry_equiv_pos_as_xyz
'x,y,z'
loop_
_atom_site_label
_atom_site_fract_x
_atom_site_fract_y
_atom_site_fract_z
K1 0.500 0.500 0.500
Nb1 0.000 0.500 0.000
Nb2 0.500 0.000 0.000
Nb3 0.000 0.000 0.500
Ru1 0.000 0.000 0.000
```

=====

No. 3
Here is crystalline Zr2IrAu at its relaxed geometry from the Alexandria database. Energies are from GGA-PBEsol.

**Uncorrected energy**: -8.4635 eV per atom
**Formation energy from the elements**: -0.4818 eV per atom
**Total moment**: 0.00 μB per formula unit

CIF file:
```
data_Zr2IrAu
_symmetry_space_group_name_H-M 'P 1'
_symmetry_Int_Tables_number 1
_cell_length_a 3.477
_cell_length_b 3.477
_cell_length_c 6.097
_cell_angle_alpha 90.00
_cell_angle_beta 90.00
_cell_angle_gamma 90.00
loop_
_symmetry_equiv_pos_as_xyz
'x,y,z'
loop_
_atom_site_label
_atom_site_fract_x
_atom_site_fract_y
_atom_site_fract_z
Zr1 0.500 0.500 0.274
Zr2 0.000 0.000 0.964
Ir1 0.500 0.500 0.767
Au1 0.000 0.000 0.495
```